YTe2Pt | PBE | relaxed

Cell and atoms, written as extended XYZ:
```
4
Lattice="-1.3793 -2.1550 7.2213 -1.1266 -5.8049 4.8711 2.5065 -3.7959 6.1646" Properties=species:S:1:pos:R:3 pbc="T T T"
Pt 0.0004 -8.7058 13.5202
Te 0.0000 -0.4575 0.7105
Y 0.0003 -5.7227 8.8875
Te 0.0001 -2.7477 4.2672
```

- Excess energy over the best structure of this formula in the dataset: 0.19 eV per formula unit
- Formation energy without anion corrections: -0.879 eV/atom